# 1
A plane-wave DFT calculation with PBEsol was carried out for a relaxed structure of LiY2Zn2.

Properties
The calculation puts the total energy at -3.96 eV/atom. As for the size of the total moment: 0.00 μB per formula unit.

Cell lengths 7.6660, 7.6660, 3.8149 Å; angles 90.00, 90.00, 90.00 degrees
Last column: nearest neighbours and their distance in Å.
Atoms (fractional coordinates):
Li1 0.0000 0.0000 0.0000  4 Zn 3.00
Li2 0.5000 0.5000 0.0000  4 Zn 3.00
Y1 0.1636 0.3364 0.5000  6 Zn 2.93-2.97
Y2 0.3364 0.8364 0.5000  6 Zn 2.93-2.97
Y3 0.6636 0.1636 0.5000  6 Zn 2.93-2.97
Y4 0.8364 0.6636 0.5000  6 Zn 2.93-2.97
Zn1 0.1308 0.6308 0.0000  1 Zn 2.84, 6 Y 2.93-2.97, 2 Li 3.00
Zn2 0.3692 0.1308 0.0000  1 Zn 2.84, 6 Y 2.93-2.97, 2 Li 3.00
Zn3 0.6308 0.8692 0.0000  1 Zn 2.84, 6 Y 2.93-2.97, 2 Li 3.00
Zn4 0.8692 0.3692 0.0000  1 Zn 2.84, 6 Y 2.93-2.97, 2 Li 3.00

# 2
A plane-wave DFT calculation with PBEsol was carried out for a relaxed structure of Li2YZn2.

Properties
The calculation puts the total energy at -2.95 eV/atom. As for the size of the total moment: 0.00 μB per formula unit.

Cell lengths 6.8614, 6.8614, 6.8614 Å; angles 147.28, 147.28, 46.96 degrees
Last column: nearest neighbours and their distance in Å.
Atoms (fractional coordinates):
Li1 0.2500 0.7500 0.5000  4 Zn 2.68, 4 Li 2.73
Li2 0.7500 0.2500 0.5000  4 Zn 2.68, 4 Li 2.73
Y1 0.0000 0.0000 0.0000  8 Zn 3.02
Zn1 0.3978 0.3978 0.0000  1 Zn 2.57, 4 Li 2.68
Zn2 0.6022 0.6022 0.0000  1 Zn 2.57, 4 Li 2.68

# 3
A plane-wave DFT calculation with PBEsol was carried out for a relaxed structure of LiY2Zr.

Properties
The calculation puts the total energy at -6.09 eV/atom. As for the size of the total moment: 0.00 μB per formula unit. For the energy above the most stable polymorph in this dataset, the calculation gives 0 meV/atom.

Cell lengths 3.3891, 3.3891, 8.9665 Å; angles 90.00, 90.00, 90.00 degrees
Last column: nearest neighbours and their distance in Å.
Atoms (fractional coordinates):
Li1 0.0000 0.0000 0.0000  8 Y 3.30, 4 Li 3.39
Y1 0.5000 0.5000 0.2537  4 Zr 3.26, 4 Li 3.30, 4 Y 3.39
Y2 0.5000 0.5000 0.7463  4 Zr 3.26, 4 Li 3.30, 4 Y 3.39
Zr1 0.0000 0.0000 0.5000  8 Y 3.26, 4 Zr 3.39

# 4
A plane-wave DFT calculation with PBEsol was carried out for a relaxed structure of LiY2Zr.

Properties
The calculation puts the total energy at -5.92 eV/atom. As for the size of the total moment: 0.00 μB per formula unit. For the energy above the most stable polymorph in this dataset, the calculation gives 166 meV/atom.

Cell lengths 3.3281, 4.7098, 6.4674 Å; angles 90.00, 90.00, 90.00 degrees
Last column: nearest neighbours and their distance in Å.
Atoms (fractional coordinates):
Li1 0.0000 0.0000 0.0000  5 Y 3.00-3.29, 4 Zr 3.31, 2 Li 3.33
Y1 0.0000 0.0000 0.5369  1 Li 3.00, 4 Zr 3.20, 2 Y 3.33
Y2 0.5000 0.5000 0.2448  2 Zr 3.20-3.27, 4 Li 3.29, 6 Y 3.33-3.45
Zr1 0.5000 0.5000 0.7497  6 Y 3.20-3.27, 4 Li 3.31, 2 Zr 3.33

# 5
A plane-wave DFT calculation with PBEsol was carried out for a relaxed structure of LiZn2.

Properties
The calculation puts the total energy at -1.79 eV/atom. As for the size of the total moment: 0.00 μB per formula unit.

Cell lengths 2.6860, 2.6860, 6.7300 Å; angles 90.00, 90.00, 120.00 degrees
Last column: nearest neighbours and their distance in Å.
Atoms (fractional coordinates):
Li1 0.0000 0.0000 0.0000  6 Li 2.69, 6 Zn 2.72
Zn1 0.3333 0.6667 0.3312  9 Zn 2.69-2.75, 3 Li 2.72
Zn2 0.6667 0.3333 0.6688  9 Zn 2.69-2.75, 3 Li 2.72

# 6
A plane-wave DFT calculation with PBEsol was carried out for a relaxed structure of LiZn.

Properties
The calculation puts the total energy at -1.82 eV/atom. As for the size of the total moment: 0.00 μB per formula unit.

Cell lengths 2.7419, 2.7419, 9.2014 Å; angles 90.00, 90.00, 120.00 degrees
Last column: nearest neighbours and their distance in Å.
Atoms (fractional coordinates):
Li1 0.3333 0.6667 0.1373  3 Zn 2.72, 9 Li 2.74-2.98
Li2 0.6667 0.3333 0.8627  3 Zn 2.72, 9 Li 2.74-2.98
Zn1 0.3333 0.6667 0.6221  3 Li 2.72, 9 Zn 2.74-2.75
Zn2 0.6667 0.3333 0.3779  3 Li 2.72, 9 Zn 2.74-2.75

# 7
A plane-wave DFT calculation with PBEsol was carried out for a relaxed structure of LiZn13.

Properties
The calculation puts the total energy at -1.65 eV/atom. As for the size of the total moment: 0.00 μB per formula unit.

Cell lengths 8.4833, 8.4833, 8.4833 Å; angles 60.00, 60.00, 60.00 degrees
Last column: nearest neighbours and their distance in Å.
Atoms (fractional coordinates):
Li1 0.2500 0.2500 0.2500  24 Zn 3.48
Li2 0.7500 0.7500 0.7500  24 Zn 3.48
Zn1 0.0000 0.0000 0.0000  12 Zn 2.60
Zn2 0.0612 0.3005 0.6995  9 Zn 2.50-2.70
Zn3 0.0612 0.6995 0.9388  9 Zn 2.50-2.70
Zn4 0.0612 0.9388 0.3005  9 Zn 2.50-2.70
Zn5 0.1995 0.4388 0.8005  9 Zn 2.50-2.70
Zn6 0.1995 0.5612 0.4388  9 Zn 2.50-2.70
Zn7 0.1995 0.8005 0.5612  9 Zn 2.50-2.70
Zn8 0.3005 0.0612 0.9388  9 Zn 2.50-2.70
Zn9 0.3005 0.6995 0.0612  9 Zn 2.50-2.70
Zn10 0.3005 0.9388 0.6995  9 Zn 2.50-2.70
Zn11 0.4388 0.1995 0.5612  9 Zn 2.50-2.70
Zn12 0.4388 0.5612 0.8005  9 Zn 2.50-2.70
Zn13 0.4388 0.8005 0.1995  9 Zn 2.50-2.70
Zn14 0.5000 0.5000 0.5000  12 Zn 2.60
Zn15 0.5612 0.1995 0.8005  9 Zn 2.50-2.70
Zn16 0.5612 0.4388 0.1995  9 Zn 2.50-2.70
Zn17 0.5612 0.8005 0.4388  9 Zn 2.50-2.70
Zn18 0.6995 0.0612 0.3005  9 Zn 2.50-2.70
Zn19 0.6995 0.3005 0.9388  9 Zn 2.50-2.70
Zn20 0.6995 0.9388 0.0612  9 Zn 2.50-2.70
Zn21 0.8005 0.1995 0.4388  9 Zn 2.50-2.70
Zn22 0.8005 0.4388 0.5612  9 Zn 2.50-2.70
Zn23 0.8005 0.5612 0.1995  9 Zn 2.50-2.70
Zn24 0.9388 0.0612 0.6995  9 Zn 2.50-2.70
Zn25 0.9388 0.3005 0.0612  9 Zn 2.50-2.70
Zn26 0.9388 0.6995 0.3005  9 Zn 2.50-2.70

# 8
A plane-wave DFT calculation with PBEsol was carried out for a relaxed structure of Li4Zn3.

Properties
The calculation puts the total energy at -1.91 eV/atom. As for the size of the total moment: 0.00 μB per formula unit. For the energy above the most stable polymorph in this dataset, the calculation gives 44 meV/atom.

Cell lengths 12.7981, 12.7981, 12.7981 Å; angles 166.95, 166.95, 18.49 degrees
Last column: nearest neighbours and their distance in Å.
Atoms (fractional coordinates):
Li1 0.0687 0.0687 0.0000  4 Zn 2.69, 8 Li 2.91-2.94
Li2 0.3483 0.3483 0.0000  4 Zn 2.65, 8 Li 2.91-2.94
Li3 0.6517 0.6517 0.0000  4 Zn 2.65, 8 Li 2.91-2.94
Li4 0.9313 0.9313 0.0000  4 Zn 2.69, 8 Li 2.91-2.94
Zn1 0.2177 0.2177 0.0000  8 Zn 2.62-2.91, 4 Li 2.65
Zn2 0.5000 0.5000 0.0000  8 Li 2.69, 4 Zn 2.91
Zn3 0.7823 0.7823 0.0000  8 Zn 2.62-2.91, 4 Li 2.65